1.
Here is CsSrHg2 after structural relaxation from the Alexandria database. Energies are from PBE.

Properties
The calculation puts the density at 6.402 g/cm³. For the formation energy from the elements, the calculation gives -0.3140 eV/atom. As for the energy above the most stable polymorph in this dataset: 0.000 eV/f.u.

Structure (extended XYZ):
```
4
Lattice="4.313 0.000 0.000 0.000 4.313 0.000 0.000 0.000 8.667" Properties=species:S:1:pos:R:3 pbc="T T T"
Cs 2.157 2.157 4.333
Sr 2.157 2.157 0.000
Hg 0.000 0.000 7.035
Hg 0.000 0.000 1.631
```


2.
Here is CsSr3Hg after structural relaxation from the Alexandria database. Energies are from PBE.

Properties
The calculation puts the density at 3.530 g/cm³. For the formation energy from the elements, the calculation gives -0.1218 eV/atom. As for the energy above the most stable polymorph in this dataset: 0.000 eV/f.u.

Structure (extended XYZ):
```
5
Lattice="6.546 0.000 0.000 0.000 6.546 0.000 0.000 0.000 6.546" Properties=species:S:1:pos:R:3 pbc="T T T"
Cs 3.273 3.273 3.273
Sr 0.000 3.273 0.000
Sr 0.000 0.000 3.273
Sr 3.273 0.000 0.000
Hg 0.000 0.000 0.000
```


Look up the formation energy from the elements of the second one.
-0.1218 eV/atom


formation energy from the elements of number 1 (CsSrHg2)?
-0.3140 eV/atom


Please write out number 2 again, unchanged.
Here is CsSr3Hg after structural relaxation from the Alexandria database. Energies are from PBE.

Properties
The calculation puts the density at 3.530 g/cm³. For the formation energy from the elements, the calculation gives -0.1218 eV/atom. As for the energy above the most stable polymorph in this dataset: 0.000 eV/f.u.

Structure (extended XYZ):
```
5
Lattice="6.546 0.000 0.000 0.000 6.546 0.000 0.000 0.000 6.546" Properties=species:S:1:pos:R:3 pbc="T T T"
Cs 3.273 3.273 3.273
Sr 0.000 3.273 0.000
Sr 0.000 0.000 3.273
Sr 3.273 0.000 0.000
Hg 0.000 0.000 0.000
```